[1]
Li2TcO4 | PBE | relaxed

Properties
Crystal system ... tetragonal
Formation energy without anion corrections ... -35.4 kcal/mol of atoms
Energy above the lowest structure with this stoichiometry ... 3.21 kcal/mol of atoms

a = 3.9353 Å, b = 3.9353 Å, c = 5.8186 Å
α = 70.23°, β = 70.23°, γ = 90.00°
Sites, in units of the cell vectors:
Tc 0.0000 0.0000 0.0000
O 0.1774 0.1774 0.6452
O 0.8226 0.8226 0.3548
O 0.0000 0.5000 0.0000
O 0.5000 0.0000 0.0000
Li 0.3638 0.3638 0.2724
Li 0.6362 0.6362 0.7276

[2]
AlPPd2 | PBE | relaxed

Properties
Crystal system ... cubic
Calculated formation energy ... -0.379 eV/atom
Energy above the lowest structure with this stoichiometry ... 0.40 kcal/mol of atoms

a = 4.3569 Å, b = 4.3569 Å, c = 4.3569 Å
α = 60.00°, β = 60.00°, γ = 60.00°
Sites, in units of the cell vectors:
P 0.5000 0.5000 0.5000
Al 0.0000 0.0000 0.0000
Pd 0.2500 0.2500 0.2500
Pd 0.7500 0.7500 0.7500

[3]
CaErMgIn | PBE | relaxed

Properties
Crystal system ... cubic
Calculated formation energy ... -0.294 eV/atom

a = 5.3663 Å, b = 5.3663 Å, c = 5.3663 Å
α = 60.00°, β = 60.00°, γ = 60.00°
Sites, in units of the cell vectors:
Ca 0.0000 0.0000 0.0000
In 0.2500 0.2500 0.2500
Mg 0.7500 0.7500 0.7500
Er 0.5000 0.5000 0.5000

[4]
LaPr2Dy2Er | PBE | relaxed

Properties
Crystal system ... orthorhombic
Calculated formation energy ... 0.065 eV/atom

a = 5.7482 Å, b = 7.0890 Å, c = 9.9658 Å
α = 90.00°, β = 90.00°, γ = 90.00°
Sites, in units of the cell vectors:
La 0.0000 0.0075 0.5002
La 0.0000 0.5075 0.4998
Pr 0.5000 0.0078 0.9998
Pr 0.0000 0.2577 0.1682
Pr 0.5000 0.5078 0.0002
Pr 0.0000 0.7577 0.8318
Dy 0.0000 0.2579 0.8338
Dy 0.5000 0.2573 0.3319
Dy 0.0000 0.7579 0.1662
Dy 0.5000 0.7573 0.6681
Er 0.5000 0.2575 0.6654
Er 0.5000 0.7575 0.3346

[5]
Tm8ZnC4 | PBE | relaxed

Properties
Crystal system ... monoclinic
Calculated formation energy ... -0.274 eV/atom

a = 3.5785 Å, b = 8.7835 Å, c = 8.9036 Å
α = 84.80°, β = 78.41°, γ = 78.25°
Sites, in units of the cell vectors:
Tm 0.1584 0.3153 0.3680
Tm 0.5596 0.6369 0.2439
Tm 0.4718 0.3664 0.6900
Tm 0.8731 0.6880 0.5658
Tm 0.8598 0.9800 0.3004
Tm 0.2087 0.6691 0.9135
Tm 0.1716 0.0233 0.6334
Tm 0.8227 0.3343 0.0202
Zn 0.5157 0.0019 0.9667
C 0.3648 0.8350 0.4353
C 0.8433 0.5162 0.7972
C 0.1881 0.4872 0.1366
C 0.6666 0.1684 0.4985

[6]
TaRe2C | PBE | relaxed

Properties
Crystal system ... tetragonal
Calculated formation energy ... 0.207 eV/atom

a = 6.9835 Å, b = 6.9835 Å, c = 5.4559 Å
α = 50.21°, β = 50.21°, γ = 90.00°
Sites, in units of the cell vectors:
Re 0.5156 0.1250 0.2500
Re 0.2344 0.6250 0.2500
Re 0.3750 0.4844 0.7500
Re 0.8750 0.7656 0.7500
C 0.5000 0.5000 0.0000
C 0.2500 0.7500 0.5000
Ta 0.0000 0.0000 0.0000
Ta 0.7500 0.2500 0.5000

[7]
MgHIr3 | PBE | relaxed

Properties
Crystal system ... cubic
Energy above the lowest structure with this stoichiometry ... 58.80 kcal/mol of atoms

a = 4.5373 Å, b = 4.5373 Å, c = 4.5373 Å
α = 90.00°, β = 90.00°, γ = 90.00°
Sites, in units of the cell vectors:
H 0.5000 0.5000 0.5000
Mg 0.0000 0.0000 0.0000
Ir 0.0000 0.5000 0.0000
Ir 0.0000 0.0000 0.5000
Ir 0.5000 0.0000 0.0000

[8]
Mg4AlRu | PBE | relaxed

Properties
Crystal system ... cubic
Calculated formation energy ... 0.354 eV/atom

a = 5.3899 Å, b = 5.3899 Å, c = 5.3899 Å
α = 60.00°, β = 60.00°, γ = 60.00°
Sites, in units of the cell vectors:
Mg 0.8734 0.3755 0.3755
Mg 0.3755 0.3755 0.8734
Mg 0.3755 0.8734 0.3755
Mg 0.3755 0.3755 0.3755
Al 0.0000 0.0000 0.0000
Ru 0.7500 0.7500 0.7500

[9]
Pr4Y3Te8 | PBE | relaxed

Properties
Crystal system ... monoclinic
Formation energy without anion corrections ... -32.9 kcal/mol of atoms
Energy above the lowest structure with this stoichiometry ... 0.00 kcal/mol of atoms

a = 8.8787 Å, b = 8.8812 Å, c = 8.8812 Å
α = 89.96°, β = 120.03°, γ = 120.03°
Sites, in units of the cell vectors:
Pr 0.5000 0.0000 0.0000
Pr 0.0000 0.5000 0.0000
Pr 0.0000 0.0000 0.0000
Pr 0.0000 0.0000 0.5000
Y 0.5000 0.5000 0.0000
Y 0.5000 0.0000 0.5000
Y 0.5000 0.5000 0.5000
Te 0.5180 0.2633 0.2633
Te 0.0000 0.7411 0.2589
Te 0.0089 0.2631 0.2631
Te 0.5000 0.7456 0.2544
Te 0.5000 0.2544 0.7456
Te 0.9911 0.7369 0.7369
Te 0.0000 0.2589 0.7411
Te 0.4820 0.7367 0.7367

| no. | total moment (μB/cell) |
| --- | --- |
| 1 | 0.1 |
| 2 | 0.0 |
| 3 | 0.0 |
| 4 | 0.0 |
| 5 | 0.0 |
| 6 | 0.0 |
| 7 | 1.8 |
| 8 | 0.0 |
| 9 | 0.0 |